No. 1
Entry from the Alexandria database: an optimized crystal structure of ScBP2C (PBE-GGA).

```
data_ScBP2C
_cell_length_a 3.857
_cell_length_b 4.399
_cell_length_c 4.675
_cell_angle_alpha 94.58
_cell_angle_beta 93.73
_cell_angle_gamma 115.03
_space_group_name_H-M_alt 'P 1'
_space_group_IT_number 1
loop_
_space_group_symop_operation_xyz
'x,y,z'
loop_
_atom_site_label
_atom_site_type_symbol
_atom_site_fract_x
_atom_site_fract_y
_atom_site_fract_z
Sc1 Sc 0.000 0.000 0.000
B1 B 0.220 0.355 0.518
P1 P 0.402 0.740 0.310
P2 P 0.661 0.357 0.768
C1 C 0.812 0.078 0.530
```

Calculated values
**Volume**: 14.24 A^3/atom
**E_tot**: -6.693 eV/atom
**Energy above the most stable polymorph in this dataset**: 161 meV/atom
**Magnetic moment**: 0.00 μB/f.u.

No. 2
Entry from the Alexandria database: an optimized crystal structure of Cs2ZnFeNi (PBE-GGA).

```
data_Cs2ZnFeNi
_cell_length_a 6.877
_cell_length_b 6.877
_cell_length_c 4.577
_cell_angle_alpha 90.00
_cell_angle_beta 90.00
_cell_angle_gamma 90.00
_space_group_name_H-M_alt 'P 4/m m m'
_space_group_IT_number 123
_space_group_name_Hall '-P 4 2'
loop_
_atom_site_label
_atom_site_type_symbol
_atom_site_fract_x
_atom_site_fract_y
_atom_site_fract_z
Cs1 Cs 0.000 0.500 0.000
Zn1 Zn 0.000 0.000 0.000
Fe1 Fe 0.500 0.500 0.500
Ni1 Ni 0.000 0.000 0.500
```

Calculated values
**Volume**: 43.29 A^3/atom
**E_tot**: -2.438 eV/atom
**Magnetic moment**: 3.24 μB/f.u.

No. 3
Entry from the Alexandria database: an optimized crystal structure of ThMg4Ir2 (PBE-GGA).

```
data_ThMg4Ir2
_cell_length_a 8.637
_cell_length_b 8.637
_cell_length_c 3.869
_cell_angle_alpha 90.00
_cell_angle_beta 90.00
_cell_angle_gamma 90.00
_space_group_name_H-M_alt 'P 42/m n m'
_space_group_IT_number 136
_space_group_name_Hall '-P 4n 2n'
loop_
_atom_site_label
_atom_site_type_symbol
_atom_site_fract_x
_atom_site_fract_y
_atom_site_fract_z
Th1 Th 0.000 0.000 0.000
Mg1 Mg 0.102 0.336 0.500
Ir1 Ir 0.172 0.828 0.500
```

Calculated values
**Volume**: 20.62 A^3/atom
**E_tot**: -4.999 eV/atom
**Magnetic moment**: 0.00 μB/f.u.

No. 4
Entry from the Alexandria database: an optimized crystal structure of Cs2ReI6Cl (PBE-GGA).

```
data_Cs2ReI6Cl
_cell_length_a 8.402
_cell_length_b 8.402
_cell_length_c 12.584
_cell_angle_alpha 90.00
_cell_angle_beta 90.00
_cell_angle_gamma 90.00
_space_group_name_H-M_alt 'I 4/m m m'
_space_group_IT_number 139
_space_group_name_Hall '-I 4 2'
loop_
_atom_site_label
_atom_site_type_symbol
_atom_site_fract_x
_atom_site_fract_y
_atom_site_fract_z
Cs1 Cs 0.000 0.500 0.250
Re1 Re 0.000 0.000 0.000
I1 I 0.000 0.000 0.217
I2 I 0.232 0.232 0.000
Cl1 Cl 0.000 0.000 0.500
```

Calculated values
**Volume**: 44.42 A^3/atom
**E_tot**: -3.098 eV/atom
**Magnetic moment**: 2.40 μB/f.u.

No. 5
Entry from the Alexandria database: an optimized crystal structure of Pr3SbSeCl (PBE-GGA).

```
data_Pr3SbSeCl
_cell_length_a 8.643
_cell_length_b 4.355
_cell_length_c 9.848
_cell_angle_alpha 90.00
_cell_angle_beta 103.81
_cell_angle_gamma 90.00
_space_group_name_H-M_alt 'P 1 21/m 1'
_space_group_IT_number 11
loop_
_space_group_symop_operation_xyz
'x,y,z'
'-x,-y,-z'
'-x,y+1/2,-z'
'x,-y+1/2,z'
loop_
_atom_site_label
_atom_site_type_symbol
_atom_site_fract_x
_atom_site_fract_y
_atom_site_fract_z
Pr1 Pr 0.078 0.250 0.351
Pr2 Pr 0.223 0.250 0.000
Pr3 Pr 0.401 0.750 0.623
Sb1 Sb 0.314 0.750 0.273
Se1 Se 0.165 0.250 0.662
Cl1 Cl 0.395 0.750 0.912
```

Calculated values
**Volume**: 30.00 A^3/atom
**E_tot**: -5.403 eV/atom
**Magnetic moment**: 0.67 μB/f.u.

No. 6
Entry from the Alexandria database: an optimized crystal structure of MgMnCo2Sn (PBE-GGA).

```
data_MgMnCo2Sn
_cell_length_a 4.420
_cell_length_b 4.420
_cell_length_c 4.588
_cell_angle_alpha 90.00
_cell_angle_beta 90.00
_cell_angle_gamma 90.00
_space_group_name_H-M_alt 'P 4/m m m'
_space_group_IT_number 123
_space_group_name_Hall '-P 4 2'
loop_
_atom_site_label
_atom_site_type_symbol
_atom_site_fract_x
_atom_site_fract_y
_atom_site_fract_z
Mg1 Mg 0.000 0.000 0.000
Mn1 Mn 0.000 0.000 0.500
Co1 Co 0.000 0.500 0.000
Sn1 Sn 0.500 0.500 0.500
```

Calculated values
**Volume**: 17.93 A^3/atom
**E_tot**: -4.672 eV/atom
**Energy above the most stable polymorph in this dataset**: 0 meV/atom
**Magnetic moment**: 6.27 μB/f.u.

No. 7
Entry from the Alexandria database: an optimized crystal structure of BaScSCl2 (PBE-GGA).

```
data_BaScSCl2
_cell_length_a 5.008
_cell_length_b 5.008
_cell_length_c 5.111
_cell_angle_alpha 90.00
_cell_angle_beta 90.00
_cell_angle_gamma 90.00
_space_group_name_H-M_alt 'P 4/m m m'
_space_group_IT_number 123
_space_group_name_Hall '-P 4 2'
loop_
_atom_site_label
_atom_site_type_symbol
_atom_site_fract_x
_atom_site_fract_y
_atom_site_fract_z
Ba1 Ba 0.000 0.000 0.000
Sc1 Sc 0.500 0.500 0.500
S1 S 0.500 0.500 0.000
Cl1 Cl 0.000 0.500 0.500
```

Calculated values
**Volume**: 25.63 A^3/atom
**E_tot**: -5.147 eV/atom
**Energy above the most stable polymorph in this dataset**: 0 meV/atom
**Magnetic moment**: 0.00 μB/f.u.

No. 8
Entry from the Alexandria database: an optimized crystal structure of TaAlNi3 (PBE-GGA).

```
data_TaAlNi3
_cell_length_a 4.179
_cell_length_b 4.179
_cell_length_c 4.179
_cell_angle_alpha 90.00
_cell_angle_beta 90.00
_cell_angle_gamma 90.00
_space_group_name_H-M_alt 'P m -3 m'
_space_group_IT_number 221
_space_group_name_Hall '-P 4 2 3'
loop_
_atom_site_label
_atom_site_type_symbol
_atom_site_fract_x
_atom_site_fract_y
_atom_site_fract_z
Ta1 Ta 0.000 0.000 0.000
Al1 Al 0.500 0.500 0.500
Ni1 Ni 0.000 0.500 0.500
```

Calculated values
**Volume**: 14.60 A^3/atom
**E_tot**: -5.949 eV/atom
**Energy above the most stable polymorph in this dataset**: 0 meV/atom
**Magnetic moment**: 0.00 μB/f.u.

No. 9
Entry from the Alexandria database: an optimized crystal structure of AsHPdBr2 (PBE-GGA).

```
data_AsHPdBr2
_cell_length_a 5.341
_cell_length_b 5.341
_cell_length_c 4.701
_cell_angle_alpha 90.00
_cell_angle_beta 90.00
_cell_angle_gamma 90.00
_space_group_name_H-M_alt 'P 4/m m m'
_space_group_IT_number 123
_space_group_name_Hall '-P 4 2'
loop_
_atom_site_label
_atom_site_type_symbol
_atom_site_fract_x
_atom_site_fract_y
_atom_site_fract_z
As1 As 0.000 0.000 0.000
H1 H 0.500 0.500 0.000
Pd1 Pd 0.000 0.000 0.500
Br1 Br 0.000 0.500 0.500
```

Calculated values
**Volume**: 26.82 A^3/atom
**E_tot**: -2.732 eV/atom
**Energy above the most stable polymorph in this dataset**: 57 meV/atom
**Magnetic moment**: 0.95 μB/f.u.

No. 10
Entry from the Alexandria database: an optimized crystal structure of MnIn2Cl5 (PBE-GGA).

```
data_MnIn2Cl5
_cell_length_a 5.161
_cell_length_b 15.195
_cell_length_c 11.893
_cell_angle_alpha 90.00
_cell_angle_beta 90.00
_cell_angle_gamma 90.00
_space_group_name_H-M_alt 'C m c m'
_space_group_IT_number 63
_space_group_name_Hall '-C 2c 2'
loop_
_atom_site_label
_atom_site_type_symbol
_atom_site_fract_x
_atom_site_fract_y
_atom_site_fract_z
Mn1 Mn 0.000 0.197 0.250
In1 In 0.000 0.114 0.622
Cl1 Cl 0.000 0.080 0.102
Cl2 Cl 0.000 0.298 0.750
Cl3 Cl 0.000 0.319 0.099
```

Calculated values
**Volume**: 29.15 A^3/atom
**E_tot**: -3.894 eV/atom
**Magnetic moment**: 4.87 μB/f.u.

No. 11
Entry from the Alexandria database: an optimized crystal structure of Rb2NpI4 (PBE-GGA).

```
data_Rb2NpI4
_cell_length_a 6.200
_cell_length_b 6.200
_cell_length_c 18.636
_cell_angle_alpha 90.00
_cell_angle_beta 90.00
_cell_angle_gamma 90.00
_space_group_name_H-M_alt 'I 4/m m m'
_space_group_IT_number 139
_space_group_name_Hall '-I 4 2'
loop_
_atom_site_label
_atom_site_type_symbol
_atom_site_fract_x
_atom_site_fract_y
_atom_site_fract_z
Rb1 Rb 0.000 0.000 0.135
Np1 Np 0.000 0.000 0.500
I1 I 0.000 0.000 0.330
I2 I 0.000 0.500 0.000
```

Calculated values
**Volume**: 51.17 A^3/atom
**E_tot**: -4.050 eV/atom
**Magnetic moment**: 5.00 μB/f.u.

No. 12
Entry from the Alexandria database: an optimized crystal structure of Ba2BeTlH (PBE-GGA).

```
data_Ba2BeTlH
_cell_length_a 6.624
_cell_length_b 6.624
_cell_length_c 4.146
_cell_angle_alpha 90.00
_cell_angle_beta 90.00
_cell_angle_gamma 90.00
_space_group_name_H-M_alt 'P 4/m m m'
_space_group_IT_number 123
_space_group_name_Hall '-P 4 2'
loop_
_atom_site_label
_atom_site_type_symbol
_atom_site_fract_x
_atom_site_fract_y
_atom_site_fract_z
Ba1 Ba 0.000 0.500 0.000
Be1 Be 0.000 0.000 0.500
Tl1 Tl 0.500 0.500 0.000
H1 H 0.500 0.500 0.500
```

Calculated values
**Volume**: 36.38 A^3/atom
**E_tot**: -2.035 eV/atom
**Magnetic moment**: 0.00 μB/f.u.

Question: Look up the magnetic moment of the sixth one.
Answer: 6.27 μB/f.u.

Question: Among the records above, which one has the highest volume?
Answer: Rb2NpI4

Question: Among the records above, which one has the lowest E_tot?
Answer: ScBP2C